PuHg2F8 PBE optimized geometry; calculated volume = 181 Å³ per cell; calculated density = 7.3 g/cm³; N(E_F) = 10.3 states/eV per cell; E_tot = -5.035 eV/atom; space group = No. 12; energy relative to the elements, uncorrected = -2.32 eV/atom
1.0
4.967 -3.926 0.000
4.967 3.926 0.000
-1.287 0.000 4.633
Pu Hg F
1 2 8
direct
0.000 0.000 0.000
0.353 0.353 0.659
0.647 0.647 0.341
0.060 0.669 0.764
0.135 0.135 0.709
0.331 0.940 0.236
0.412 0.412 0.216
0.588 0.588 0.784
0.669 0.060 0.764
0.865 0.865 0.291
0.940 0.331 0.236


PuHgF6 PBE optimized geometry; calculated volume = 145 Å³ per cell; calculated density = 6.4 g/cm³; N(E_F) = 10.4 states/eV per cell; E_tot = -5.911 eV/atom; space group = No. 149; energy relative to the elements, uncorrected = -2.68 eV/atom
1.0
5.527 0.000 0.000
-2.764 4.787 0.000
0.000 0.000 5.463
Pu Hg F
1 1 6
direct
0.000 0.000 0.000
0.667 0.333 0.500
0.321 0.015 0.764
0.321 0.307 0.236
0.693 0.015 0.236
0.693 0.679 0.764
0.985 0.307 0.764
0.985 0.679 0.236


PuHg3F6 PBE optimized geometry; calculated volume = 183 Å³ per cell; calculated density = 8.7 g/cm³; N(E_F) = 10.5 states/eV per cell; E_tot = -4.798 eV/atom; space group = No. 162; energy relative to the elements, uncorrected = -2.15 eV/atom
1.0
5.252 0.000 0.000
-2.626 4.549 0.000
0.000 0.000 7.659
Pu Hg F
1 3 6
direct
0.000 0.000 0.000
0.000 0.000 0.500
0.333 0.667 0.500
0.667 0.333 0.500
0.000 0.313 0.830
0.000 0.687 0.170
0.313 0.000 0.830
0.313 0.313 0.170
0.687 0.000 0.170
0.687 0.687 0.830


PuHgF3 PBE optimized geometry; calculated volume = 101 Å³ per cell; calculated density = 8.3 g/cm³; N(E_F) = 9.1 states/eV per cell; E_tot = -6.823 eV/atom; space group = No. 221; energy relative to the elements, uncorrected = -2.77 eV/atom
1.0
4.656 0.000 0.000
0.000 4.656 0.000
0.000 0.000 4.656
Pu Hg F
1 1 3
direct
0.000 0.000 0.000
0.500 0.500 0.500
0.000 0.000 0.500
0.000 0.500 0.000
0.500 0.000 0.000


PuHgF PBE optimized geometry; calculated volume = 138 Å³ per cell; calculated density = 11.1 g/cm³; N(E_F) = 21.2 states/eV per cell; E_tot = -7.001 eV/atom; space group = No. 166; energy relative to the elements, uncorrected = -1.50 eV/atom
1.0
1.983 1.145 10.152
-1.983 1.145 10.152
0.000 -2.289 10.152
Pu Hg F
2 2 2
direct
0.108 0.108 0.108
0.892 0.892 0.892
0.366 0.366 0.366
0.634 0.634 0.634
0.194 0.194 0.194
0.806 0.806 0.806


RbPu3Hg2F12 PBE optimized geometry; calculated volume = 475 Å³ per cell; calculated density = 5.1 g/cm³; N(E_F) = 13.0 states/eV per cell; E_tot = -6.753 eV/atom; space group = No. 166; energy relative to the elements, uncorrected = -3.03 eV/atom
1.0
4.445 2.566 6.936
-4.445 2.566 6.936
0.000 -5.133 6.936
Rb Pu Hg F
1 3 2 12
direct
0.000 0.000 0.000
0.000 0.000 0.500
0.000 0.500 0.000
0.500 0.000 0.000
0.393 0.393 0.393
0.607 0.607 0.607
0.059 0.717 0.717
0.091 0.091 0.619
0.091 0.619 0.091
0.283 0.283 0.941
0.283 0.941 0.283
0.381 0.909 0.909
0.619 0.091 0.091
0.717 0.059 0.717
0.717 0.717 0.059
0.909 0.381 0.909
0.909 0.909 0.381
0.941 0.283 0.283


RbPuHg2F6 PBE optimized geometry; calculated volume = 277 Å³ per cell; calculated density = 5.1 g/cm³; N(E_F) = 11.8 states/eV per cell; E_tot = -5.145 eV/atom; space group = No. 164; energy relative to the elements, uncorrected = -2.43 eV/atom
1.0
6.499 0.000 0.000
-3.250 5.629 0.000
0.000 0.000 7.568
Rb Pu Hg F
1 1 2 6
direct
0.000 0.000 0.000
0.000 0.000 0.500
0.333 0.667 0.887
0.667 0.333 0.113
0.145 0.289 0.330
0.145 0.855 0.330
0.289 0.145 0.670
0.711 0.855 0.330
0.855 0.145 0.670
0.855 0.711 0.670


RbPuHgF6 PBE optimized geometry; calculated volume = 193 Å³ per cell; calculated density = 5.5 g/cm³; N(E_F) = 13.3 states/eV per cell; E_tot = -5.744 eV/atom; space group = No. 1; energy relative to the elements, uncorrected = -2.76 eV/atom
1.0
5.260 0.000 0.000
0.150 6.436 0.000
0.090 2.987 5.713
Rb Pu Hg F
1 1 1 6
direct
0.000 0.000 0.000
0.603 0.650 0.666
0.246 0.335 0.327
0.298 0.421 0.793
0.441 0.879 0.783
0.452 0.837 0.327
0.774 0.465 0.994
0.779 0.412 0.573
0.916 0.868 0.544


Rb3HgF6 PBE optimized geometry; calculated volume = 433 Å³ per cell; calculated density = 4.4 g/cm³; N(E_F) = 12.9 states/eV per cell; E_tot = -3.591 eV/atom; space group = No. 14; energy relative to the elements, uncorrected = -2.15 eV/atom
1.0
6.632 0.000 0.000
0.000 6.923 0.000
-6.595 0.000 9.432
Rb Hg F
6 2 12
direct
0.000 0.000 0.000
0.000 0.500 0.500
0.229 0.053 0.747
0.229 0.447 0.247
0.771 0.553 0.753
0.771 0.947 0.253
0.500 0.000 0.500
0.500 0.500 0.000
0.184 0.179 0.454
0.184 0.321 0.954
0.256 0.736 0.431
0.256 0.764 0.931
0.387 0.053 0.280
0.387 0.447 0.780
0.613 0.553 0.220
0.613 0.947 0.720
0.744 0.236 0.069
0.744 0.264 0.569
0.816 0.679 0.046
0.816 0.821 0.546


RbHgF3 PBE optimized geometry; calculated volume = 219 Å³ per cell; calculated density = 5.2 g/cm³; N(E_F) = 0.0 states/eV per cell; E_tot = -3.287 eV/atom; space group = No. 12; energy relative to the elements, uncorrected = -1.91 eV/atom
1.0
7.568 -1.820 0.000
7.568 1.820 0.000
-1.501 0.000 7.967
Rb Hg F
2 2 6
direct
0.128 0.128 0.373
0.872 0.872 0.627
0.353 0.353 0.140
0.647 0.647 0.860
0.054 0.054 0.758
0.182 0.182 0.052
0.311 0.311 0.391
0.689 0.689 0.609
0.818 0.818 0.948
0.946 0.946 0.242


Rb2HgF7 PBE optimized geometry; calculated volume = 179 Å³ per cell; calculated density = 4.7 g/cm³; N(E_F) = 7.0 states/eV per cell; E_tot = -3.092 eV/atom; space group = No. 139; energy relative to the elements, uncorrected = -1.56 eV/atom
1.0
-3.105 3.105 4.647
3.105 -3.105 4.647
3.105 3.105 -4.647
Rb Hg F
2 1 7
direct
0.250 0.750 0.500
0.750 0.250 0.500
0.000 0.000 0.000
0.226 0.226 0.000
0.241 0.241 0.482
0.241 0.759 0.000
0.500 0.500 0.000
0.759 0.241 0.000
0.759 0.759 0.518
0.774 0.774 0.000


Rb2HgF6 PBE optimized geometry; calculated volume = 178 Å³ per cell; calculated density = 4.5 g/cm³; N(E_F) = 0.1 states/eV per cell; E_tot = -3.303 eV/atom; space group = No. 12; energy relative to the elements, uncorrected = -1.81 eV/atom
1.0
5.441 -3.169 0.000
5.441 3.169 0.000
-3.624 0.000 5.159
Rb Hg F
2 1 6
direct
0.249 0.249 0.250
0.751 0.751 0.750
0.500 0.500 0.000
0.262 0.262 0.763
0.263 0.736 0.237
0.264 0.737 0.763
0.736 0.263 0.237
0.737 0.264 0.763
0.738 0.738 0.237


RbHgF3 PBE optimized geometry; calculated volume = 313 Å³ per cell; calculated density = 5.5 g/cm³; N(E_F) = 9.3 states/eV per cell; E_tot = -2.774 eV/atom; space group = No. 166; energy relative to the elements, uncorrected = -1.40 eV/atom
1.0
5.054 0.000 0.000
-2.527 4.377 0.000
0.000 0.000 14.125
Rb Hg F
3 3 9
direct
0.000 0.000 0.000
0.333 0.667 0.667
0.667 0.333 0.333
0.000 0.000 0.500
0.333 0.667 0.167
0.667 0.333 0.833
0.000 0.500 0.500
0.167 0.333 0.833
0.167 0.833 0.833
0.333 0.167 0.167
0.500 0.000 0.500
0.500 0.500 0.500
0.667 0.833 0.833
0.833 0.167 0.167
0.833 0.667 0.167


RbHgF3 PBE optimized geometry; calculated volume = 218 Å³ per cell; calculated density = 5.2 g/cm³; N(E_F) = 2.0 states/eV per cell; E_tot = -2.843 eV/atom; space group = No. 119; energy relative to the elements, uncorrected = -1.47 eV/atom
1.0
-2.245 2.245 10.794
2.245 -2.245 10.794
2.245 2.245 -10.794
Rb Hg F
2 2 6
direct
0.000 0.000 0.000
0.750 0.250 0.500
0.139 0.639 0.500
0.361 0.861 0.500
0.316 0.316 0.000
0.365 0.114 0.251
0.684 0.684 0.000
0.863 0.114 0.749
0.886 0.137 0.251
0.886 0.635 0.749


RbHgF3 PBE optimized geometry; calculated volume = 380 Å³ per cell; calculated density = 6.0 g/cm³; N(E_F) = 0.0 states/eV per cell; E_tot = -3.323 eV/atom; space group = No. 15; energy relative to the elements, uncorrected = -1.95 eV/atom
1.0
6.219 -4.868 0.000
6.219 4.868 0.000
-0.006 0.000 6.269
Rb Hg F
4 4 12
direct
0.039 0.961 0.750
0.358 0.642 0.250
0.642 0.358 0.750
0.961 0.039 0.250
0.124 0.437 0.750
0.437 0.124 0.250
0.563 0.876 0.750
0.876 0.563 0.250
0.044 0.676 0.002
0.045 0.675 0.498
0.324 0.956 0.498
0.325 0.955 0.002
0.348 0.348 0.499
0.348 0.348 0.999
0.652 0.652 0.001
0.652 0.652 0.501
0.675 0.045 0.998
0.676 0.044 0.502
0.955 0.325 0.502
0.956 0.324 0.998


RbHgF PBE optimized geometry; calculated volume = 237 Å³ per cell; calculated density = 4.3 g/cm³; N(E_F) = 0.0 states/eV per cell; E_tot = -2.457 eV/atom; space group = No. 107; energy relative to the elements, uncorrected = -1.41 eV/atom
1.0
5.254 0.000 0.000
0.000 5.254 0.000
0.000 0.000 8.592
Rb Hg F
2 2 2
direct
0.000 0.000 0.000
0.500 0.500 0.500
0.000 0.000 0.415
0.500 0.500 0.915
0.000 0.000 0.704
0.500 0.500 0.204


Rb4Hg2F PBE optimized geometry; calculated volume = 611 Å³ per cell; calculated density = 4.1 g/cm³; N(E_F) = 7.2 states/eV per cell; E_tot = -1.733 eV/atom; space group = No. 139; energy relative to the elements, uncorrected = -0.83 eV/atom
1.0
5.581 0.000 0.000
0.000 5.581 0.000
0.000 0.000 19.624
Rb Hg F
8 4 2
direct
0.000 0.000 0.172
0.000 0.000 0.828
0.000 0.500 0.000
0.000 0.500 0.500
0.500 0.000 0.000
0.500 0.000 0.500
0.500 0.500 0.328
0.500 0.500 0.672
0.000 0.000 0.363
0.000 0.000 0.637
0.500 0.500 0.137
0.500 0.500 0.863
0.000 0.000 0.000
0.500 0.500 0.500


Rb2HgF PBE optimized geometry; calculated volume = 413 Å³ per cell; calculated density = 4.7 g/cm³; N(E_F) = 5.9 states/eV per cell; E_tot = -2.364 eV/atom; space group = No. 160; energy relative to the elements, uncorrected = -1.34 eV/atom
1.0
4.165 0.000 0.000
-2.083 3.607 0.000
0.000 0.000 27.475
Rb Hg F
6 3 3
direct
0.000 0.000 0.000
0.000 0.000 0.213
0.333 0.667 0.667
0.333 0.667 0.880
0.667 0.333 0.333
0.667 0.333 0.547
0.000 0.000 0.774
0.333 0.667 0.440
0.667 0.333 0.107
0.000 0.000 0.607
0.333 0.667 0.273
0.667 0.333 0.940


RbHg2F8 PBE optimized geometry; calculated volume = 233 Å³ per cell; calculated density = 4.6 g/cm³; N(E_F) = 6.7 states/eV per cell; E_tot = -2.863 eV/atom; space group = No. 2; energy relative to the elements, uncorrected = -1.36 eV/atom
1.0
5.177 0.000 0.000
0.752 6.809 0.000
0.778 1.755 6.608
Rb Hg F
1 2 8
direct
0.000 0.000 0.000
0.282 0.370 0.371
0.718 0.630 0.629
0.235 0.561 0.561
0.275 0.129 0.613
0.277 0.613 0.131
0.324 0.184 0.184
0.676 0.816 0.816
0.723 0.387 0.869
0.725 0.871 0.387
0.765 0.439 0.439


Rb2Hg2F7 PBE optimized geometry; calculated volume = 273 Å³ per cell; calculated density = 4.3 g/cm³; N(E_F) = 13.5 states/eV per cell; E_tot = -3.157 eV/atom; space group = No. 12; energy relative to the elements, uncorrected = -1.73 eV/atom
1.0
5.001 -4.399 0.000
5.001 4.399 0.000
-1.271 0.000 6.206
Rb Hg F
2 2 7
direct
0.230 0.230 0.021
0.770 0.770 0.979
0.214 0.786 0.500
0.786 0.214 0.500
0.038 0.038 0.286
0.061 0.576 0.290
0.424 0.939 0.710
0.500 0.500 0.000
0.576 0.061 0.290
0.939 0.424 0.710
0.962 0.962 0.714


RbHgF3 PBE optimized geometry; calculated volume = 421 Å³ per cell; calculated density = 5.4 g/cm³; N(E_F) = 0.0 states/eV per cell; E_tot = -3.309 eV/atom; space group = No. 227; energy relative to the elements, uncorrected = -1.93 eV/atom
1.0
0.000 5.949 5.949
5.949 0.000 5.949
5.949 5.949 0.000
Rb Hg F
4 4 12
direct
0.000 0.000 0.000
0.000 0.000 0.500
0.000 0.500 0.000
0.500 0.000 0.000
0.000 0.500 0.500
0.500 0.000 0.500
0.500 0.500 0.000
0.500 0.500 0.500
0.161 0.161 0.589
0.161 0.589 0.161
0.161 0.589 0.589
0.411 0.411 0.839
0.411 0.839 0.411
0.411 0.839 0.839
0.589 0.161 0.161
0.589 0.161 0.589
0.589 0.589 0.161
0.839 0.411 0.411
0.839 0.411 0.839
0.839 0.839 0.411


RbHgF PBE optimized geometry; calculated volume = 107 Å³ per cell; calculated density = 4.7 g/cm³; N(E_F) = 0.0 states/eV per cell; E_tot = -2.658 eV/atom; space group = No. 156; energy relative to the elements, uncorrected = -1.61 eV/atom
1.0
4.413 0.000 0.000
-2.206 3.822 0.000
0.000 0.000 6.348
Rb Hg F
1 1 1
direct
0.000 0.000 0.000
0.333 0.667 0.488
0.667 0.333 0.109